Er4AgRu2 (PBE, relaxed); DFT total energy = -6.022 eV/atom; SG = No. 123; energy of formation from the pure elements = -0.36 eV/atom
1.0
4.8191 0.0000 0.0000
0.0000 4.8191 0.0000
0.0000 0.0000 6.8627
Er Ru Ag
4 2 1
Direct
0.0000 0.5000 0.2569
0.0000 0.5000 0.7431
0.5000 0.0000 0.2569
0.5000 0.0000 0.7431
0.5000 0.5000 0.5000
0.0000 0.0000 0.0000
0.5000 0.5000 0.0000

=====

ThFe4Sb12 (PBE, relaxed); DFT total energy = -5.539 eV/atom; SG = No. 204; energy relative to the elements, uncorrected = -0.202 eV per atom
1.0
-3.2134 -1.7241 -7.0389
1.8602 -6.7194 3.7727
-5.2009 4.1157 4.3422
Fe Sb Th
4 12 1
Direct
0.0000 0.0000 0.5000
0.0000 0.5000 0.0000
0.5000 0.0000 0.0000
0.5000 0.5000 0.5000
0.5030 0.8370 0.6660
0.4970 0.1630 0.3340
0.8290 0.1630 0.6660
0.6660 0.8290 0.1630
0.8370 0.3340 0.1710
0.8370 0.6660 0.5030
0.3340 0.1710 0.8370
0.1710 0.8370 0.3340
0.3340 0.4970 0.1630
0.1630 0.6660 0.8290
0.1630 0.3340 0.4970
0.6660 0.5030 0.8370
0.0000 0.0000 0.0000

=====

NdDyY (PBE, relaxed); DFT total energy = -5.260 eV/atom; SG = No. 156; energy of formation from the pure elements = 0.02 eV/atom; polymorph energy (0 for the lowest one) = 0 meV per atom
1.0
3.6014 0.0000 0.0000
-1.8007 3.1189 0.0000
0.0000 0.0000 8.7902
Y Dy Nd
1 1 1
Direct
0.3333 0.6667 0.6629
0.6667 0.3333 0.3362
0.0000 0.0000 0.0009

=====

SrAlI2O (PBE, relaxed); DFT total energy = -3.294 eV/atom; SG = No. 123; energy relative to the elements, uncorrected = -0.597 eV per atom; polymorph energy (0 for the lowest one) = 659 meV per atom
1.0
-5.1342 4.0122 0.4114
-1.2992 -2.2758 5.9799
2.5660 3.1053 1.7393
Al I Sr O
1 2 1 1
Direct
0.5000 0.5000 0.5000
0.5000 0.0000 0.0000
0.0000 0.5000 0.0000
0.0000 0.0000 0.0000
0.0000 0.0000 0.5000

=====

In2Fe2Hg (PBE, relaxed); DFT total energy = -4.195 eV/atom; SG = No. 127; energy of formation from the pure elements = 0.35 eV/atom; polymorph energy (0 for the lowest one) = 82 meV per atom
1.0
-5.2508 6.2772 -0.6019
-5.6714 -5.0433 -3.1203
-0.9620 -0.5516 2.6402
Fe Hg In
4 2 4
Direct
0.1048 0.6048 0.5000
0.6048 0.8952 0.5000
0.3952 0.1048 0.5000
0.8952 0.3952 0.5000
0.5000 0.5000 0.0000
0.0000 0.0000 0.0000
0.3158 0.8158 0.0000
0.8158 0.6842 0.0000
0.6842 0.1842 0.0000
0.1842 0.3158 0.0000

=====

Rb2PuCu2Br6 (PBE, relaxed); DFT total energy = -4.233 eV/atom; SG = No. 12; energy relative to the elements, uncorrected = -1.097 eV per atom
1.0
7.9613 0.0000 0.0000
-3.9806 6.8082 -0.2105
0.0000 -4.1397 7.2298
Br Pu Cu Rb
6 1 2 2
Direct
0.3050 0.1050 0.8015
0.2000 0.8950 0.1985
0.8000 0.1050 0.8015
0.2512 0.5024 0.3605
0.7488 0.4976 0.6395
0.6950 0.8950 0.1985
0.5000 0.0000 0.5000
0.9586 0.9171 0.8226
0.0414 0.0829 0.1774
0.7285 0.4570 0.2050
0.2715 0.5430 0.7950

=====

In order of appearance, mass density = 10.20, 8.30, 6.65, 3.41, 9.33, 4.41 g/cm³.